No. 1
Below is crystalline TcGe2PSe at its relaxed geometry, with properties calculated at the PBE-GGA level.

Cell lengths 4.594, 4.707, 4.594 Å; angles 90.00, 90.00, 90.00 degrees
Site moments in Bohr magnetons follow the coordinates.
Positions (direct):
Tc (0.500, 0.500, 0.500)  2.58
Se (0.000, 0.500, 0.000)  -0.03
Ge (0.000, 0.000, 0.500)  -0.09
Ge (0.500, 0.000, 0.000)  -0.08
P (0.000, 0.000, 0.000)  -0.04

## Properties
Space group: P4/mmm


No. 2
Below is crystalline Th6Ge2P3Se at its relaxed geometry, with properties calculated at the PBE-GGA level.

Cell lengths 4.207, 8.429, 9.424 Å; angles 103.14, 102.90, 90.00 degrees
Positions (direct):
Ge (0.835, 0.670, 0.670)
Ge (0.165, 0.330, 0.330)
P (0.166, 0.834, 0.332)
P (0.500, 0.500, 0.000)
P (0.834, 0.166, 0.668)
Th (0.671, 0.080, 0.343)
Th (0.329, 0.920, 0.657)
Th (0.334, 0.412, 0.669)
Th (0.002, 0.736, 0.005)
Th (0.666, 0.588, 0.331)
Th (0.998, 0.264, 0.995)
Se (0.500, 0.000, 0.000)

## Properties
Space group: C2/m


| no. | DOS(E_F) (states/eV/f.u.) | V (Å³/atom) | E_form (uncorrected) (kJ/mol of formula units) |
| --- | --- | --- | --- |
| 1 | 3.63 | 19.9 | 525 |
| 2 | 6.04 | 26.4 | -1521 |